Below is Hf5AuC after structural relaxation, with properties calculated at the PBE-GGA level.

* crystal system: monoclinic
* energy of formation: -0.264 eV per atom
* symmetry: No. 15
* spin magnetization: 0.0 μB per formula unit

```
Hf5AuC
1.0
5.130 -3.004 0.000
5.130 3.004 0.000
-3.339 0.000 8.847
Hf Au C
10 2 2
direct
0.035 0.374 0.629
0.041 0.959 0.750
0.198 0.567 0.970
0.374 0.035 0.129
0.433 0.802 0.530
0.567 0.198 0.470
0.626 0.965 0.871
0.802 0.433 0.030
0.959 0.041 0.250
0.965 0.626 0.371
0.491 0.509 0.250
0.509 0.491 0.750
0.000 0.000 0.000
0.000 0.000 0.500
```